Record 1
Density functional theory data (PBE) for a relaxed BaInGeSe2 crystal.

The calculation puts the final energy at -14.6 eV for the cell shown.

The space group is P4/mmm (No. 123) and the conventional cell measures 6.121, 6.121 and 6.066 Å, with angles of 90.00, 90.00 and 90.00 degrees. The inequivalent atoms are Ba at (0.000, 0.000, 0.000), In at (0.500, 0.500, 0.500), Ge at (0.000, 0.000, 0.500) and Se at (0.000, 0.500, 0.000).

***

Record 2
Density functional theory data (PBE) for a relaxed Li2ReNi crystal.

As for the energy relative to the elements: 73 kJ/mol of formula units. As for the offset from the most stable computed form: 0.081 eV/atom.

The space group is Cm (No. 8) and the conventional cell measures 8.542, 2.533 and 4.982 Å, with angles of 90.00, 96.75 and 90.00 degrees. The inequivalent atoms are Li at (0.000, 0.000, 0.000), Li at (0.240, 0.000, 0.808), Re at (0.480, 0.000, 0.478) and Ni at (0.234, 0.500, 0.321).

***

Record 3
Density functional theory data (PBE) for a relaxed LiLa2Al3Ag4 crystal.

As for the energy relative to the elements: -307 kJ/mol of formula units.

The space group is P-4m2 (No. 115) and the conventional cell measures 4.517, 4.517 and 10.646 Å, with angles of 90.00, 90.00 and 90.00 degrees. The inequivalent atoms are Li at (0.000, 0.000, 0.000), La at (0.000, 0.500, 0.744), Al at (0.000, 0.500, 0.367), Al at (0.500, 0.500, 0.000), Ag at (0.000, 0.000, 0.500), Ag at (0.000, 0.500, 0.126) and Ag at (0.500, 0.500, 0.500).

***

The records above give, respectively, DOS(E_F) values of 5.058 1.916 7.371 states/eV/f.u..